Version P
{"formula": "CuSb3As", "functional": "PBE", "state": "relaxed", "lattice_angstrom": [[5.058, 0.000, 0.000], [0.000, 5.058, 0.000], [0.000, 0.000, 5.058]], "species": ["Cu", "Sb", "Sb", "Sb", "As"], "frac_coords": [[0.000, 0.000, 0.000], [0.000, 0.000, 0.500], [0.000, 0.500, 0.000], [0.500, 0.000, 0.000], [0.500, 0.500, 0.500]], "n_ef_per_ev_cell": 3.61, "space_group": "No. 221"}

Version Q
{"formula": "CuSb3As", "functional": "PBE", "state": "relaxed", "lattice_angstrom": [[5.352, 0.000, 0.000], [0.000, 5.352, 0.000], [0.000, 0.000, 5.352]], "species": ["Cu", "Sb", "Sb", "Sb", "As"], "frac_coords": [[0.000, 0.000, 0.000], [0.000, 0.500, 0.500], [0.500, 0.000, 0.500], [0.500, 0.500, 0.000], [0.500, 0.500, 0.500]], "n_ef_per_ev_cell": 5.43, "space_group": "No. 221"}

Of the structures shown above, version P is the most stable.